a:
KIBr2O after structural relaxation, computed with PBE.

Unit cell a=11.751 b=13.072 c=5.330 alpha=90.00 beta=90.00 gamma=90.00
Space group Pnnm (No. 58)
Inequivalent atoms, fractional coordinates:
K  0.204  0.243  0.000 (multiplicity 4)
I  0.000  0.000  0.000 (multiplicity 2)
I  0.000  0.500  0.000 (multiplicity 2)
Br  0.099  0.689  0.000 (multiplicity 4)
Br  0.223  0.942  0.000 (multiplicity 4)
O  0.207  0.263  0.500 (multiplicity 4)

Calculated values
magnetization	0.41	μB per atom


b:
KIBr2O after structural relaxation, computed with PBE.

Unit cell a=13.121 b=4.401 c=13.178 alpha=90.00 beta=101.31 gamma=90.00
Space group P2/m (No. 10)
Inequivalent atoms, fractional coordinates:
K  0.167  0.000  0.356 (multiplicity 2)
K  0.274  0.500  0.839 (multiplicity 2)
I  0.000  0.000  0.000 (multiplicity 1)
I  0.000  0.500  0.500 (multiplicity 1)
I  0.500  0.000  0.000 (multiplicity 1)
I  0.500  0.500  0.500 (multiplicity 1)
Br  0.063  0.000  0.814 (multiplicity 2)
Br  0.210  0.500  0.571 (multiplicity 2)
Br  0.311  0.000  0.062 (multiplicity 2)
Br  0.386  0.500  0.297 (multiplicity 2)
O  0.253  0.500  0.298 (multiplicity 2)
O  0.419  0.000  0.859 (multiplicity 2)

Calculated values
magnetization	0.07	μB per atom


Here are the energies relative to the best structure, in meV/atom: a 250; b 0.


a:
KPbI2Br after structural relaxation, computed with PBE.

Unit cell a=6.370 b=6.370 c=5.920 alpha=90.00 beta=90.00 gamma=90.00
Space group P4/mmm (No. 123)
Inequivalent atoms, fractional coordinates:
K  0.000  0.000  0.000 (multiplicity 1)
Pb  0.500  0.500  0.500 (multiplicity 1)
I  0.000  0.500  0.500 (multiplicity 2)
Br  0.500  0.500  0.000 (multiplicity 1)

Calculated values
magnetization	0.00	μB per atom


b:
KPbI2Br after structural relaxation, computed with PBE.

Unit cell a=4.702 b=15.477 c=11.342 alpha=90.00 beta=90.00 gamma=90.00
Space group Cmcm (No. 63)
Inequivalent atoms, fractional coordinates:
K  0.000  0.228  0.250 (multiplicity 4)
Pb  0.000  0.500  0.000 (multiplicity 4)
I  0.000  0.140  0.558 (multiplicity 8)
Br  0.000  0.425  0.750 (multiplicity 4)

Calculated values
magnetization	0.00	μB per atom


Here are the energies relative to the best structure, in meV/atom: a 92; b 0.


a:
KSrI2Br after structural relaxation, computed with PBE.

Unit cell a=6.471 b=6.471 c=5.929 alpha=90.00 beta=90.00 gamma=90.00
Space group P4/mmm (No. 123)
Inequivalent atoms, fractional coordinates:
K  0.000  0.000  0.000 (multiplicity 1)
Sr  0.500  0.500  0.500 (multiplicity 1)
I  0.000  0.500  0.500 (multiplicity 2)
Br  0.500  0.500  0.000 (multiplicity 1)

Calculated values
magnetization	0.00	μB per atom


b:
KSrI2Br after structural relaxation, computed with PBE.

Unit cell a=4.788 b=15.623 c=11.333 alpha=90.00 beta=90.00 gamma=90.00
Space group Cmcm (No. 63)
Inequivalent atoms, fractional coordinates:
K  0.000  0.227  0.250 (multiplicity 4)
Sr  0.000  0.500  0.000 (multiplicity 4)
I  0.000  0.140  0.560 (multiplicity 8)
Br  0.000  0.424  0.750 (multiplicity 4)

Calculated values
magnetization	0.00	μB per atom


Here are the energies relative to the best structure, in meV/atom: a 97; b 0.